# CaPb2Se3

A geometry-optimized CaPb2Se3 structure (PBE, the Alexandria database).

Geometry as POSCAR:
```
CaPb2Se3
1.0
-2.1654 3.0652 6.5298
2.1654 -3.0652 6.5298
2.1654 3.0652 -6.5298
Ca Pb Se
1 2 3
direct
0.0000 0.0000 0.0000
0.3329 0.3329 0.0000
0.6671 0.6671 0.0000
0.1585 0.6585 0.5000
0.5000 0.0000 0.5000
0.8415 0.3415 0.5000
```

## Properties
Total moment = 0.000 μB per formula unit
E_form (uncorrected) = -1.04 eV/atom
SG = Immm (71)